Entry 1:
The following is a GGA-PBE calculation of crystalline CrPPdCl2 at its relaxed geometry, from Alexandria.

a b c (Å): 4.6692 4.6692 4.7133
angles (deg): 90.00 90.00 90.00
Last column: nearest neighbours and their distance in Å.
Space group P4/mmm (No. 123)
Symmetry-distinct sites (fractional):
Cr 0.0000 0.0000 0.0000 x1  4 Cl 2.33, 2 P 2.36
P 0.0000 0.0000 0.5000 x1  2 Cr 2.36
Pd 0.5000 0.5000 0.5000 x1  4 P 3.30, 8 Cl 3.32
Cl 0.0000 0.5000 0.0000 x2  2 Cr 2.33

Results
E_form (uncorrected)   0.223 eV per atom
E above lowest polymorph   0.000 eV per atom
Density of states at the Fermi level   4.1 states/eV per cell

Entry 2:
The following is a GGA-PBE calculation of crystalline CrPPdCl2 at its relaxed geometry, from Alexandria.

a b c (Å): 5.2878 5.2878 4.3511
angles (deg): 90.00 90.00 90.00
Last column: nearest neighbours and their distance in Å.
Space group P4/mmm (No. 123)
Symmetry-distinct sites (fractional):
Cr 0.0000 0.0000 0.0000 x1  8 Cl 3.42, 4 P 3.74
P 0.5000 0.5000 0.0000 x1  2 Pd 2.18
Pd 0.5000 0.5000 0.5000 x1  2 P 2.18
Cl 0.0000 0.5000 0.5000 x2  2 Pd 2.64

Results
E_form (uncorrected)   0.444 eV per atom
E above lowest polymorph   0.221 eV per atom
Density of states at the Fermi level   4.8 states/eV per cell

Entry 3:
The following is a GGA-PBE calculation of crystalline CrPPd2Cl at its relaxed geometry, from Alexandria.

a b c (Å): 4.5590 4.5590 4.4891
angles (deg): 90.00 90.00 90.00
Last column: nearest neighbours and their distance in Å.
Space group P4/mmm (No. 123)
Symmetry-distinct sites (fractional):
Cr 0.0000 0.0000 0.0000 x1  2 Cl 2.24
P 0.5000 0.5000 0.0000 x1  8 Pd 3.20, 4 Cr 3.22
Pd 0.0000 0.5000 0.5000 x2  2 Cl 2.28
Cl 0.0000 0.0000 0.5000 x1  2 Cr 2.24, 4 Pd 2.28

Results
E_form (uncorrected)   0.678 eV per atom
Density of states at the Fermi level   3.6 states/eV per cell

Entry 4:
The following is a GGA-PBE calculation of crystalline CrP2PtCl at its relaxed geometry, from Alexandria.

a b c (Å): 4.5491 4.5491 4.2451
angles (deg): 90.00 90.00 90.00
Last column: nearest neighbours and their distance in Å.
Space group P4/mmm (No. 123)
Symmetry-distinct sites (fractional):
Cr 0.0000 0.0000 0.0000 x1  2 Cl 2.12, 4 P 2.27
P 0.0000 0.5000 0.0000 x2  2 Cr 2.27
Pt 0.5000 0.5000 0.5000 x1  8 P 3.11, 4 Cl 3.22
Cl 0.0000 0.0000 0.5000 x1  2 Cr 2.12

Results
E_form (uncorrected)   0.632 eV per atom
E above lowest polymorph   0.000 eV per atom
Density of states at the Fermi level   4.0 states/eV per cell

Entry 5:
The following is a GGA-PBE calculation of crystalline CrP2PtCl at its relaxed geometry, from Alexandria.

a b c (Å): 4.6495 4.6495 4.8676
angles (deg): 90.00 90.00 90.00
Last column: nearest neighbours and their distance in Å.
Space group P4/mmm (No. 123)
Symmetry-distinct sites (fractional):
Cr 0.0000 0.0000 0.0000 x1  4 Cl 3.29, 8 P 3.37
P 0.0000 0.5000 0.5000 x2  2 Pt 2.32
Pt 0.5000 0.5000 0.5000 x1  4 P 2.32, 2 Cl 2.43
Cl 0.5000 0.5000 0.0000 x1  2 Pt 2.43

Results
E_form (uncorrected)   1.164 eV per atom
E above lowest polymorph   0.532 eV per atom
Density of states at the Fermi level   5.3 states/eV per cell

Entry 6:
The following is a GGA-PBE calculation of crystalline RbCrP2Cl at its relaxed geometry, from Alexandria.

a b c (Å): 5.6452 5.6452 5.6924
angles (deg): 90.00 90.00 90.00
Last column: nearest neighbours and their distance in Å.
Space group P4/mmm (No. 123)
Symmetry-distinct sites (fractional):
Rb 0.0000 0.0000 0.0000 x1  4 P 2.82, 2 Cl 2.85
Cr 0.5000 0.5000 0.5000 x1  4 Cl 3.99, 8 P 4.01
P 0.0000 0.5000 0.0000 x2  2 Rb 2.82
Cl 0.0000 0.0000 0.5000 x1  2 Rb 2.85

Results
E_form (uncorrected)   1.536 eV per atom
E above lowest polymorph   1.846 eV per atom
Density of states at the Fermi level   3.1 states/eV per cell

Entry 7:
The following is a GGA-PBE calculation of crystalline RbCrP2Cl at its relaxed geometry, from Alexandria.

a b c (Å): 4.4152 4.4152 5.8161
angles (deg): 90.00 90.00 90.00
Last column: nearest neighbours and their distance in Å.
Space group P4/mmm (No. 123)
Symmetry-distinct sites (fractional):
Rb 0.0000 0.0000 0.0000 x1  4 Cl 3.12
Cr 0.5000 0.5000 0.5000 x1  4 P 2.21
P 0.0000 0.5000 0.5000 x2  2 Cr 2.21
Cl 0.5000 0.5000 0.0000 x1  2 Cr 2.91, 4 Rb 3.12

Results
E_form (uncorrected)   -0.310 eV per atom
E above lowest polymorph   0.000 eV per atom
Density of states at the Fermi level   4.0 states/eV per cell

Entry 8:
The following is a GGA-PBE calculation of crystalline Rb2CrPCl6 at its relaxed geometry, from Alexandria.

a b c (Å): 7.6345 7.6345 9.0939
angles (deg): 90.00 90.00 90.00
Last column: nearest neighbours and their distance in Å.
Space group I4/mmm (No. 139)
Symmetry-distinct sites (fractional):
Rb 0.0000 0.5000 0.2500 x4  12 Cl 3.54-3.82
Cr 0.0000 0.0000 0.0000 x2  6 Cl 2.31-2.42
P 0.0000 0.0000 0.5000 x2  2 Cl 2.23
Cl 0.0000 0.0000 0.2543 x4  1 P 2.23, 1 Cr 2.31
Cl 0.2241 0.2241 0.0000 x8  1 Cr 2.42

Results
E_form (uncorrected)   -1.045 eV per atom
Density of states at the Fermi level   1.9 states/eV per cell

Entry 9:
The following is a GGA-PBE calculation of crystalline CrReP2Cl at its relaxed geometry, from Alexandria.

a b c (Å): 4.5407 4.5407 5.2445
angles (deg): 90.00 90.00 90.00
Last column: nearest neighbours and their distance in Å.
Space group P4/mmm (No. 123)
Symmetry-distinct sites (fractional):
Cr 0.0000 0.0000 0.0000 x1  4 Cl 3.21, 8 P 3.47
Re 0.5000 0.5000 0.5000 x1  4 P 2.27
P 0.0000 0.5000 0.5000 x2  2 Re 2.27
Cl 0.5000 0.5000 0.0000 x1  2 Re 2.62

Results
E_form (uncorrected)   0.636 eV per atom
E above lowest polymorph   0.000 eV per atom
Density of states at the Fermi level   3.0 states/eV per cell

Entry 10:
The following is a GGA-PBE calculation of crystalline CrRePCl2 at its relaxed geometry, from Alexandria.

a b c (Å): 4.9061 4.9061 4.5872
angles (deg): 90.00 90.00 90.00
Last column: nearest neighbours and their distance in Å.
Space group P4/mmm (No. 123)
Symmetry-distinct sites (fractional):
Cr 0.0000 0.0000 0.0000 x1  8 Cl 3.36, 4 P 3.47
Re 0.5000 0.5000 0.5000 x1  2 P 2.29, 4 Cl 2.45
P 0.5000 0.5000 0.0000 x1  2 Re 2.29
Cl 0.0000 0.5000 0.5000 x2  2 Re 2.45

Results
E_form (uncorrected)   0.637 eV per atom
E above lowest polymorph   0.000 eV per atom
Density of states at the Fermi level   6.8 states/eV per cell

Entry 11:
The following is a GGA-PBE calculation of crystalline CrReP2Cl at its relaxed geometry, from Alexandria.

a b c (Å): 4.5775 4.5775 4.4937
angles (deg): 90.00 90.00 90.00
Last column: nearest neighbours and their distance in Å.
Space group P4/mmm (No. 123)
Symmetry-distinct sites (fractional):
Cr 0.0000 0.0000 0.0000 x1  2 Cl 2.25, 4 P 2.29
Re 0.5000 0.5000 0.5000 x1  8 P 3.21, 4 Cl 3.24
P 0.0000 0.5000 0.0000 x2  2 Cr 2.29
Cl 0.0000 0.0000 0.5000 x1  2 Cr 2.25

Results
E_form (uncorrected)   1.118 eV per atom
E above lowest polymorph   0.482 eV per atom
Density of states at the Fermi level   2.6 states/eV per cell

Entry 12:
The following is a GGA-PBE calculation of crystalline CrReP2Cl at its relaxed geometry, from Alexandria.

a b c (Å): 4.5168 4.5168 5.0313
angles (deg): 90.00 90.00 90.00
Last column: nearest neighbours and their distance in Å.
Space group P4/mmm (No. 123)
Symmetry-distinct sites (fractional):
Cr 0.0000 0.0000 0.0000 x1  2 Re 2.52
Re 0.0000 0.0000 0.5000 x1  4 P 2.26, 2 Cr 2.52
P 0.0000 0.5000 0.5000 x2  2 Re 2.26
Cl 0.5000 0.5000 0.0000 x1  4 Cr 3.19, 8 P 3.38

Results
E_form (uncorrected)   0.807 eV per atom
E above lowest polymorph   0.171 eV per atom
Density of states at the Fermi level   6.7 states/eV per cell